1.
{
  "formula": "MoPOs2",
  "functional": "PBE-GGA",
  "state": "relaxed",
  "spacegroup": "Cmmm, No. 65",
  "formation_energy_ev_per_atom": 0.3819,
  "cell": [[2.850, -3.523, 0.000], [2.850, 3.523, 0.000], [0.000, 0.000, 2.856]],
  "species": ["Os", "Mo", "P", "Os"],
  "frac_coords": [[0.500, 0.000, 0.000], [0.500, 0.500, 0.500], [0.000, 0.000, 0.500], [0.000, 0.500, 0.000]]
}



2.
{
  "formula": "MoPOs2",
  "functional": "PBE-GGA",
  "state": "relaxed",
  "spacegroup": "Immm, No. 71",
  "formation_energy_ev_per_atom": -0.1424,
  "cell": [[-2.812, -3.688, 2.278], [-1.251, 0.502, 4.988], [-0.289, 1.891, -4.800]],
  "species": ["Os", "P", "Os", "Mo"],
  "frac_coords": [[0.215, 0.215, 0.000], [0.000, 0.500, 0.500], [0.785, 0.785, 0.000], [0.500, 0.000, 0.500]]
}